Here is a relaxed ThBeIr crystal from the Alexandria database. Energies are from GGA-PBE.

Properties
- energy relative to the elements (eV/atom) = -0.6537
- total moment (μB/f.u.) = 0.0
- Fermi-level density of states (states/eV/atom) = 0.729
- offset from the most stable computed form (meV/atom) = 15.8

Cell lengths 4.0710, 4.0710, 4.0007 Å; angles 90.00, 90.00, 120.00 degrees
Space group P-6m2 (No. 187)
One atom of each set of equivalent atoms:
Th 0.0000 0.0000 0.0000
Be 0.3333 0.6667 0.5000
Ir 0.6667 0.3333 0.5000